Entry 1:
A plane-wave DFT calculation with PBE was carried out for a geometry-optimized SrSb2PI structure.

Calculated values
The value obtained for the uncorrected formation energy is -87 meV/atom. For the density of states at the Fermi level, the calculation gives 0.85 states/eV/atom. As for the density: 5.092 Mg/m³.

```
data_SrSb2PI
_cell_length_a 5.297
_cell_length_b 5.297
_cell_length_c 5.684
_cell_angle_alpha 90.00
_cell_angle_beta 90.00
_cell_angle_gamma 90.00
_symmetry_space_group_name_H-M 'P 4/m m m'
_symmetry_Int_Tables_number 123
_symmetry_space_group_name_Hall '-P 4 2'
loop_
_atom_site_label
_atom_site_fract_x
_atom_site_fract_y
_atom_site_fract_z
Sr1 0.000 0.000 0.000
Sb1 0.000 0.500 0.500
P1 0.500 0.500 0.500
I1 0.500 0.500 0.000
```

Entry 2:
A plane-wave DFT calculation with PBE was carried out for a geometry-optimized TaSb2PI structure.

Calculated values
The value obtained for the uncorrected formation energy is 1232 meV/atom. For the density of states at the Fermi level, the calculation gives 1.06 states/eV/atom. As for the density: 7.195 Mg/m³.

```
data_TaSb2PI
_cell_length_a 5.126
_cell_length_b 5.126
_cell_length_c 5.116
_cell_angle_alpha 90.00
_cell_angle_beta 90.00
_cell_angle_gamma 90.00
_symmetry_space_group_name_H-M 'P 4/m m m'
_symmetry_Int_Tables_number 123
_symmetry_space_group_name_Hall '-P 4 2'
loop_
_atom_site_label
_atom_site_fract_x
_atom_site_fract_y
_atom_site_fract_z
Ta1 0.000 0.000 0.000
Sb1 0.000 0.500 0.500
P1 0.500 0.500 0.500
I1 0.500 0.500 0.000
```

Entry 3:
A plane-wave DFT calculation with PBE was carried out for a geometry-optimized TaSb2PI structure.

Calculated values
The value obtained for the uncorrected formation energy is 894 meV/atom. For the density of states at the Fermi level, the calculation gives 0.84 states/eV/atom. As for the density: 6.074 Mg/m³.

```
data_TaSb2PI
_cell_length_a 5.419
_cell_length_b 5.419
_cell_length_c 5.422
_cell_angle_alpha 90.00
_cell_angle_beta 90.00
_cell_angle_gamma 90.00
_symmetry_space_group_name_H-M 'P 4/m m m'
_symmetry_Int_Tables_number 123
_symmetry_space_group_name_Hall '-P 4 2'
loop_
_atom_site_label
_atom_site_fract_x
_atom_site_fract_y
_atom_site_fract_z
Ta1 0.000 0.000 0.000
Sb1 0.000 0.500 0.000
P1 0.500 0.500 0.500
I1 0.000 0.000 0.500
```

Entry 4:
A plane-wave DFT calculation with PBE was carried out for a geometry-optimized TcSbPI2 structure.

Calculated values
The value obtained for the uncorrected formation energy is 1183 meV/atom. For the density of states at the Fermi level, the calculation gives 0.49 states/eV/atom. As for the density: 5.387 Mg/m³.

```
data_TcSbPI2
_cell_length_a 5.315
_cell_length_b 5.315
_cell_length_c 5.506
_cell_angle_alpha 90.00
_cell_angle_beta 90.00
_cell_angle_gamma 90.00
_symmetry_space_group_name_H-M 'P 4/m m m'
_symmetry_Int_Tables_number 123
_symmetry_space_group_name_Hall '-P 4 2'
loop_
_atom_site_label
_atom_site_fract_x
_atom_site_fract_y
_atom_site_fract_z
Tc1 0.000 0.000 0.000
Sb1 0.500 0.500 0.000
P1 0.500 0.500 0.500
I1 0.000 0.500 0.500
```

Entry 5:
A plane-wave DFT calculation with PBE was carried out for a geometry-optimized TcSbPI2 structure.

Calculated values
The value obtained for the uncorrected formation energy is 992 meV/atom. For the density of states at the Fermi level, the calculation gives 1.46 states/eV/atom. As for the density: 5.753 Mg/m³.

```
data_TcSbPI2
_cell_length_a 5.290
_cell_length_b 5.290
_cell_length_c 5.203
_cell_angle_alpha 90.00
_cell_angle_beta 90.00
_cell_angle_gamma 90.00
_symmetry_space_group_name_H-M 'P 4/m m m'
_symmetry_Int_Tables_number 123
_symmetry_space_group_name_Hall '-P 4 2'
loop_
_atom_site_label
_atom_site_fract_x
_atom_site_fract_y
_atom_site_fract_z
Tc1 0.000 0.000 0.000
Sb1 0.000 0.000 0.500
P1 0.500 0.500 0.500
I1 0.000 0.500 0.000
```

Entry 6:
A plane-wave DFT calculation with PBE was carried out for a geometry-optimized Sb2TePI structure.

Calculated values
The value obtained for the uncorrected formation energy is 517 meV/atom. For the density of states at the Fermi level, the calculation gives 0.95 states/eV/atom. As for the density: 5.765 Mg/m³.

```
data_Sb2TePI
_cell_length_a 5.363
_cell_length_b 5.363
_cell_length_c 5.298
_cell_angle_alpha 90.00
_cell_angle_beta 90.00
_cell_angle_gamma 90.00
_symmetry_space_group_name_H-M 'P 4/m m m'
_symmetry_Int_Tables_number 123
_symmetry_space_group_name_Hall '-P 4 2'
loop_
_atom_site_label
_atom_site_fract_x
_atom_site_fract_y
_atom_site_fract_z
Sb1 0.000 0.500 0.000
Te1 0.000 0.000 0.500
P1 0.000 0.000 0.000
I1 0.500 0.500 0.500
```

Entry 7:
A plane-wave DFT calculation with PBE was carried out for a geometry-optimized Sb2TePI structure.

Calculated values
The value obtained for the uncorrected formation energy is 1223 meV/atom. For the density of states at the Fermi level, the calculation gives 1.48 states/eV/atom. As for the density: 4.544 Mg/m³.

```
data_Sb2TePI
_cell_length_a 5.855
_cell_length_b 5.855
_cell_length_c 5.640
_cell_angle_alpha 90.00
_cell_angle_beta 90.00
_cell_angle_gamma 90.00
_symmetry_space_group_name_H-M 'P 4/m m m'
_symmetry_Int_Tables_number 123
_symmetry_space_group_name_Hall '-P 4 2'
loop_
_atom_site_label
_atom_site_fract_x
_atom_site_fract_y
_atom_site_fract_z
Sb1 0.000 0.500 0.000
Te1 0.000 0.000 0.000
P1 0.500 0.500 0.500
I1 0.000 0.000 0.500
```

Entry 8:
A plane-wave DFT calculation with PBE was carried out for a geometry-optimized Sb2TePI structure.

Calculated values
The value obtained for the uncorrected formation energy is 544 meV/atom. For the density of states at the Fermi level, the calculation gives 1.10 states/eV/atom. As for the density: 5.788 Mg/m³.

```
data_Sb2TePI
_cell_length_a 5.405
_cell_length_b 5.405
_cell_length_c 5.195
_cell_angle_alpha 90.00
_cell_angle_beta 90.00
_cell_angle_gamma 90.00
_symmetry_space_group_name_H-M 'P 4/m m m'
_symmetry_Int_Tables_number 123
_symmetry_space_group_name_Hall '-P 4 2'
loop_
_atom_site_label
_atom_site_fract_x
_atom_site_fract_y
_atom_site_fract_z
Sb1 0.000 0.500 0.000
Te1 0.000 0.000 0.500
P1 0.500 0.500 0.000
I1 0.500 0.500 0.500
```